Record 1
DFT (PBE) results for a relaxed Y6Ho5Pu crystal.

E: -6.28 eV per atom
Formation enthalpy at 0 K: 0.051 eV per atom
SG: No. 65

a = 7.9064 Å, b = 7.9064 Å, c = 10.0117 Å
α = 90.00°, β = 90.00°, γ = 143.11°
With the nearest neighbours (Å) after each atom.
Fractional positions:
Y1 0.0000 0.0000 0.2480  6 Ho 3.50-3.56, 4 Y 3.52, 2 Pu 3.52
Y2 0.0000 0.0000 0.7520  6 Ho 3.50-3.56, 4 Y 3.52, 2 Pu 3.52
Y3 0.3347 0.6653 0.2479  1 Pu 3.51, 4 Y 3.52-3.57, 7 Ho 3.52-3.56
Y4 0.3347 0.6653 0.7521  1 Pu 3.51, 4 Y 3.52-3.57, 7 Ho 3.52-3.56
Y5 0.6653 0.3347 0.2479  1 Pu 3.51, 4 Y 3.52-3.57, 7 Ho 3.52-3.56
Y6 0.6653 0.3347 0.7521  1 Pu 3.51, 4 Y 3.52-3.57, 7 Ho 3.52-3.56
Ho1 0.1649 0.8351 0.0000  8 Y 3.50-3.56, 2 Pu 3.52, 2 Ho 3.57
Ho2 0.1673 0.8327 0.5000  4 Ho 3.52-3.54, 8 Y 3.55-3.56
Ho3 0.5000 0.5000 0.5000  8 Y 3.54-3.55, 4 Ho 3.54
Ho4 0.8327 0.1673 0.5000  4 Ho 3.52-3.54, 8 Y 3.55-3.56
Ho5 0.8351 0.1649 0.0000  8 Y 3.50-3.56, 2 Pu 3.52, 2 Ho 3.57
Pu1 0.5000 0.5000 0.0000  8 Y 3.51-3.52, 4 Ho 3.52

***

Record 2
DFT (PBE) results for a relaxed YHoPu4 crystal.

E: -11.17 eV per atom
Formation enthalpy at 0 K: 0.229 eV per atom
SG: No. 216

a = 6.1692 Å, b = 6.1692 Å, c = 6.1692 Å
α = 60.00°, β = 60.00°, γ = 60.00°
With the nearest neighbours (Å) after each atom.
Fractional positions:
Y1 0.0000 0.0000 0.0000  12 Pu 3.62, 4 Ho 3.78
Ho1 0.2500 0.2500 0.2500  12 Pu 3.62, 4 Y 3.78
Pu1 0.1254 0.6249 0.6249  6 Pu 3.08-3.09
Pu2 0.6249 0.1254 0.6249  6 Pu 3.08-3.09
Pu3 0.6249 0.6249 0.1254  6 Pu 3.08-3.09
Pu4 0.6249 0.6249 0.6249  6 Pu 3.08-3.09

***

Record 3
DFT (PBE) results for a relaxed YHoPu2 crystal.

E: -9.74 eV per atom
Formation enthalpy at 0 K: 0.183 eV per atom
SG: No. 123

a = 3.4031 Å, b = 3.4031 Å, c = 10.1241 Å
α = 90.00°, β = 90.00°, γ = 90.00°
With the nearest neighbours (Å) after each atom.
Fractional positions:
Y1 0.0000 0.0000 0.0000  4 Y 3.40, 8 Pu 3.51
Ho1 0.0000 0.0000 0.5000  4 Ho 3.40, 8 Pu 3.48
Pu1 0.5000 0.5000 0.2523  4 Pu 3.40, 4 Ho 3.48, 4 Y 3.51
Pu2 0.5000 0.5000 0.7477  4 Pu 3.40, 4 Ho 3.48, 4 Y 3.51

***

Record 4
DFT (PBE) results for a relaxed Y4Ho6Pu crystal.

E: -5.99 eV per atom
Formation enthalpy at 0 K: 0.161 eV per atom
SG: No. 63

a = 11.7161 Å, b = 11.7161 Å, c = 17.1911 Å
α = 90.00°, β = 90.00°, γ = 162.71°
With the nearest neighbours (Å) after each atom.
Fractional positions:
Y1 0.1191 0.8809 0.6412  6 Ho 3.47-3.70, 5 Y 3.52-3.79
Y2 0.1191 0.8809 0.8588  6 Ho 3.47-3.70, 5 Y 3.52-3.79
Y3 0.3696 0.6304 0.5535  6 Ho 3.36-3.62, 2 Y 3.52
Y4 0.3696 0.6304 0.9465  6 Ho 3.36-3.62, 2 Y 3.52
Y5 0.6304 0.3696 0.0535  6 Ho 3.36-3.62, 2 Y 3.52
Y6 0.6304 0.3696 0.4465  6 Ho 3.36-3.62, 2 Y 3.52
Y7 0.8809 0.1191 0.1412  6 Ho 3.47-3.70, 5 Y 3.52-3.79
Y8 0.8809 0.1191 0.3588  6 Ho 3.47-3.70, 5 Y 3.52-3.79
Ho1 0.0000 0.0000 0.0000  6 Ho 3.27-3.52, 4 Y 3.62
Ho2 0.0000 0.0000 0.5000  6 Ho 3.27-3.52, 4 Y 3.62
Ho3 0.2567 0.7433 0.7500  2 Pu 3.36, 6 Ho 3.40-3.52, 2 Y 3.70
Ho4 0.2596 0.7404 0.0823  6 Ho 3.36-3.52, 5 Y 3.46-3.51
Ho5 0.2596 0.7404 0.4177  6 Ho 3.36-3.52, 5 Y 3.46-3.51
Ho6 0.4909 0.5091 0.6601  3 Ho 3.09-3.27, 1 Y 3.36
Ho7 0.4909 0.5091 0.8399  3 Ho 3.09-3.27, 1 Y 3.36
Ho8 0.5091 0.4909 0.1601  3 Ho 3.09-3.27, 1 Y 3.36
Ho9 0.5091 0.4909 0.3399  3 Ho 3.09-3.27, 1 Y 3.36
Ho10 0.7404 0.2596 0.5823  6 Ho 3.36-3.52, 5 Y 3.46-3.51
Ho11 0.7404 0.2596 0.9177  6 Ho 3.36-3.52, 5 Y 3.46-3.51
Ho12 0.7433 0.2567 0.2500  2 Pu 3.36, 6 Ho 3.40-3.52, 2 Y 3.70
Pu1 0.1198 0.8802 0.2500  6 Ho 3.36-3.47, 2 Pu 3.52
Pu2 0.8802 0.1198 0.7500  6 Ho 3.36-3.47, 2 Pu 3.52

***

Record 5
DFT (PBE) results for a relaxed YHo6Pu crystal.

E: -5.97 eV per atom
Formation enthalpy at 0 K: 0.061 eV per atom
SG: No. 38

a = 5.6355 Å, b = 7.1188 Å, c = 7.1188 Å
α = 60.06°, β = 90.00°, γ = 90.00°
With the nearest neighbours (Å) after each atom.
Fractional positions:
Y1 0.0000 0.0000 0.0000  10 Ho 3.50-3.57, 2 Pu 3.56
Ho1 0.0000 0.0001 0.5016  8 Ho 3.49-3.57, 2 Y 3.55-3.57, 2 Pu 3.56
Ho2 0.0000 0.5016 0.0001  8 Ho 3.49-3.57, 2 Y 3.55-3.57, 2 Pu 3.56
Ho3 0.5000 0.1681 0.1681  10 Ho 3.49-3.57, 2 Y 3.50
Ho4 0.5000 0.1731 0.6643  2 Pu 3.47, 8 Ho 3.50-3.62, 2 Y 3.50
Ho5 0.5000 0.6643 0.1731  2 Pu 3.47, 8 Ho 3.50-3.62, 2 Y 3.50
Ho6 0.5000 0.6654 0.6654  2 Pu 3.47, 10 Ho 3.49-3.61
Pu1 0.0000 0.5005 0.5005  10 Ho 3.47-3.56, 2 Y 3.56

***

Record 6
DFT (PBE) results for a relaxed YHo2Pu crystal.

E: -7.31 eV per atom
Formation enthalpy at 0 K: 0.177 eV per atom
SG: No. 123

a = 5.7243 Å, b = 5.7243 Å, c = 3.7235 Å
α = 90.00°, β = 90.00°, γ = 90.00°
With the nearest neighbours (Å) after each atom.
Fractional positions:
Y1 0.0000 0.0000 0.0000  8 Ho 3.41, 2 Y 3.72
Ho1 0.0000 0.5000 0.5000  4 Pu 3.41, 4 Y 3.41, 2 Ho 3.72
Ho2 0.5000 0.0000 0.5000  4 Pu 3.41, 4 Y 3.41, 2 Ho 3.72
Pu1 0.5000 0.5000 0.0000  8 Ho 3.41, 2 Pu 3.72